No. 1
! LaY3Ag4, optimized geometry, DFT PBE; values from VASP
! Total magnetic moment in Bohr magnetons per cell: 0.00
! E_form in kJ/mol of formula units: -232
! Crystal system: tetragonal
&SYSTEM
  ibrav = 0, nat = 16, ntyp = 3
/
ATOMIC_SPECIES
Ag 107.87 Ag.upf
La 138.91 La.upf
Y 88.91 Y.upf
ATOMIC_POSITIONS angstrom
Ag -4.6674 -1.2196 -3.9071
Ag -7.4494 1.0453 -3.0329
Ag -6.2124 -0.5359 5.0638
Ag -5.5960 1.4004 1.9809
Ag -2.1976 1.0717 -1.9763
Ag -8.6802 -2.8253 3.1346
Ag -8.0658 -0.8909 0.0500
Ag -4.9817 3.3347 -1.1037
La -5.7452 -1.8485 2.1225
La -2.3468 -2.1771 -1.8346
Y 0.0000 0.0000 0.0000
Y -8.5306 0.4199 2.9935
Y -3.3984 0.3286 3.9572
Y -2.7836 2.2650 0.8728
Y -6.1847 2.5987 4.8273
Y -5.1312 0.0895 -0.9626
CELL_PARAMETERS angstrom
-2.1714 4.2065 -2.2142
-4.6935 -4.3543 -3.6692
-6.7969 0.6573 7.9143


No. 2
! Si2AgTe, optimized geometry, DFT PBE; values from VASP
! Total magnetic moment in Bohr magnetons per cell: 0.00
! Energy above the lowest structure with this stoichiometry in meV/atom: 327
! Crystal system: tetragonal
&SYSTEM
  ibrav = 0, nat = 4, ntyp = 3
/
ATOMIC_SPECIES
Ag 107.87 Ag.upf
Si 28.09 Si.upf
Te 127.60 Te.upf
ATOMIC_POSITIONS angstrom
Ag 2.3098 -0.5316 1.8671
Si 0.0000 0.0000 0.0000
Si -0.0408 2.3699 1.8671
Te 2.2691 1.8382 0.0000
CELL_PARAMETERS angstrom
4.6197 -1.0633 0.0000
-0.0816 4.7397 0.0000
-2.2691 -1.8382 3.7342


- Which value of total magnetic moment does entry 2 give?
  0.00 Bohr magnetons per cell